Record 1
VASP calculation (meta-GGA SCAN) on a crystal of ScTa3Rh relaxed with PBEsol.

a b c (Å): 4.5810 4.5810 4.5810
angles (deg): 90.00 90.00 90.00
Fractional positions:
Sc 0.0000 0.0000 0.0000
Ta 0.0000 0.0000 0.5000
Ta 0.0000 0.5000 0.0000
Ta 0.5000 0.0000 0.0000
Rh 0.5000 0.5000 0.5000

DFT formation energy	2.085	eV per atom
space-group type	Pm-3m

Record 2
VASP calculation (meta-GGA SCAN) on a crystal of RbCdPCl2 relaxed with PBEsol.

a b c (Å): 5.8863 5.8863 6.2121
angles (deg): 90.00 90.00 90.00
Fractional positions:
Rb 0.0000 0.0000 0.0000
Cd 0.5000 0.5000 0.5000
P 0.0000 0.0000 0.5000
Cl 0.0000 0.5000 0.0000
Cl 0.5000 0.0000 0.0000

formation energy from raw total energies	201	meV per atom
space-group type	P4/mmm

Record 3
VASP calculation (meta-GGA SCAN) on a crystal of Cs2HfCr relaxed with PBEsol.

a b c (Å): 8.4391 8.4391 8.4391
angles (deg): 90.00 90.00 90.00
Fractional positions:
Cs 0.2500 0.2500 0.2500
Cs 0.2500 0.2500 0.7500
Cs 0.2500 0.7500 0.2500
Cs 0.2500 0.7500 0.7500
Cs 0.7500 0.2500 0.2500
Cs 0.7500 0.2500 0.7500
Cs 0.7500 0.7500 0.2500
Cs 0.7500 0.7500 0.7500
Hf 0.0000 0.0000 0.0000
Hf 0.0000 0.5000 0.5000
Hf 0.5000 0.0000 0.5000
Hf 0.5000 0.5000 0.0000
Cr 0.0000 0.0000 0.5000
Cr 0.0000 0.5000 0.0000
Cr 0.5000 0.0000 0.0000
Cr 0.5000 0.5000 0.5000

DFT formation energy	1.668	eV per atom
space-group type	Fm-3m

Record 4
VASP calculation (meta-GGA SCAN) on a crystal of TaRe2Mo relaxed with PBEsol.

a b c (Å): 5.4234 8.8421 2.7324
angles (deg): 90.00 109.88 90.00
Fractional positions:
Ta 0.0000 0.0000 0.0000
Ta 0.5000 0.5000 0.0000
Re 0.2500 0.2500 0.5000
Re 0.2500 0.7500 0.5000
Re 0.7500 0.2500 0.5000
Re 0.7500 0.7500 0.5000
Mo 0.0000 0.5000 0.0000
Mo 0.5000 0.0000 0.0000

energy above the most stable polymorph in this dataset	85	meV/atom
DFT formation energy	-0.148	eV per atom
space-group type	C2/m

Number 1: VASP energy -237.33 eV/f.u.. Number 2: VASP energy -76.50 eV/f.u.. Number 3: VASP energy -150.01 eV/f.u.. Number 4: VASP energy -244.26 eV/f.u..